Entry 1:
SrLi3Zr after structural relaxation, computed with GGA-PBE.

The structure in POSCAR format:
```
SrLi3Zr
1.0
5.030 0.000 0.000
0.000 5.030 0.000
0.000 0.000 5.030
Sr Li Zr
1 3 1
direct
0.000 0.000 0.000 Sr
0.000 0.000 0.500 Li
0.000 0.500 0.000 Li
0.500 0.000 0.000 Li
0.500 0.500 0.500 Zr
```

Computed properties:
magnetization = 2.3 μB/f.u.
SG = No. 221
distance to the lowest polymorph of the same formula = 319 meV per atom
ΔH_f (0 K) = 1107 meV/atom

***

Entry 2:
Ca2YSn2 after structural relaxation, computed with GGA-PBE.

The structure in POSCAR format:
```
Ca2YSn2
1.0
-2.469 2.469 6.754
2.469 -2.469 6.754
2.469 2.469 -6.754
Ca Y Sn
2 1 2
direct
0.117 0.117 0.000 Ca
0.883 0.883 0.000 Ca
0.500 0.500 0.000 Y
0.250 0.750 0.500 Sn
0.750 0.250 0.500 Sn
```

Computed properties:
magnetization = 0.0 μB/f.u.
SG = No. 139
distance to the lowest polymorph of the same formula = 541 meV per atom
ΔH_f (0 K) = -3 meV/atom

***

Entry 3:
LaCdSn4 after structural relaxation, computed with GGA-PBE.

The structure in POSCAR format:
```
LaCdSn4
1.0
0.000 4.401 4.401
4.401 0.000 4.401
4.401 4.401 0.000
La Cd Sn
1 1 4
direct
0.000 0.000 0.000 La
0.250 0.250 0.250 Cd
0.125 0.625 0.625 Sn
0.625 0.125 0.625 Sn
0.625 0.625 0.125 Sn
0.625 0.625 0.625 Sn
```

Computed properties:
magnetization = 0.0 μB/f.u.
SG = No. 216
ΔH_f (0 K) = -258 meV/atom

***

Entry 4:
NpZnTc2 after structural relaxation, computed with GGA-PBE.

The structure in POSCAR format:
```
NpZnTc2
1.0
4.281 0.000 0.000
0.000 4.281 0.000
0.000 0.000 3.493
Np Zn Tc
1 1 2
direct
0.000 0.000 0.000 Np
0.500 0.500 0.000 Zn
0.000 0.500 0.500 Tc
0.500 0.000 0.500 Tc
```

Computed properties:
magnetization = 0.6 μB/f.u.
SG = No. 123
distance to the lowest polymorph of the same formula = 0 meV per atom
ΔH_f (0 K) = 8 meV/atom

***

Which of these has the highest magnetization?
SrLi3Zr

***

What did the second record say?
Ca2YSn2 after structural relaxation, computed with GGA-PBE.

The structure in POSCAR format:
```
Ca2YSn2
1.0
-2.469 2.469 6.754
2.469 -2.469 6.754
2.469 2.469 -6.754
Ca Y Sn
2 1 2
direct
0.117 0.117 0.000 Ca
0.883 0.883 0.000 Ca
0.500 0.500 0.000 Y
0.250 0.750 0.500 Sn
0.750 0.250 0.500 Sn
```

Computed properties:
magnetization = 0.0 μB/f.u.
SG = No. 139
distance to the lowest polymorph of the same formula = 541 meV per atom
ΔH_f (0 K) = -3 meV/atom

***

What is the formula in the third record?
LaCdSn4